Computed, not measured: a relaxed U2CO crystal at the PBE level of DFT. Values from VASP.

Quantum ESPRESSO input file:
```
&SYSTEM
  ibrav = 0, nat = 4, ntyp = 3
/
ATOMIC_SPECIES
U 238.03 U.upf
C 12.01 C.upf
O 16.00 O.upf
CELL_PARAMETERS angstrom
3.3312 0.0000 0.0000
1.6656 2.8849 0.0000
1.6656 0.9616 6.2277
ATOMIC_POSITIONS crystal
U 0.0786 0.0786 0.7643
U 0.2551 0.2551 0.2346
C 0.6671 0.6671 0.9988
O 0.4992 0.4992 0.5023
```

Formation energy from raw total energies: -4.451 eV/f.u.
Calculated density: 14.0 Mg/m³
Energy above the lowest structure with this stoichiometry: 194 meV/atom
Final energy: -41.2 eV for the cell shown
SG: R3m, No. 160
Magnetic moment: 3.266 μB/cell


Computed, not measured: a relaxed Sc5InNi4 crystal at the PBE level of DFT. Values from VASP.

Quantum ESPRESSO input file:
```
&SYSTEM
  ibrav = 0, nat = 10, ntyp = 3
/
ATOMIC_SPECIES
Sc 44.96 Sc.upf
In 114.82 In.upf
Ni 58.69 Ni.upf
CELL_PARAMETERS angstrom
3.2204 0.0000 0.0000
0.0000 3.2204 0.0000
0.0000 0.0000 16.6387
ATOMIC_POSITIONS crystal
Sc 0.5000 0.5000 0.1266
Sc 0.5000 0.5000 0.3121
Sc 0.5000 0.5000 0.5000
Sc 0.5000 0.5000 0.6879
Sc 0.5000 0.5000 0.8734
In 0.0000 0.0000 0.0000
Ni 0.0000 0.0000 0.2172
Ni 0.0000 0.0000 0.4066
Ni 0.0000 0.0000 0.5934
Ni 0.0000 0.0000 0.7828
```

Calculated density: 5.5 Mg/m³
Calculated formation energy: -0.481 eV/atom
Final energy: -62.3 eV for the cell shown
SG: P4/mmm, No. 123
Magnetic moment: 0.000 μB/cell


Computed, not measured: a relaxed PrYTe3 crystal at the PBE level of DFT. Values from VASP.

Quantum ESPRESSO input file:
```
&SYSTEM
  ibrav = 0, nat = 20, ntyp = 3
/
ATOMIC_SPECIES
Pr 140.91 Pr.upf
Y 88.91 Y.upf
Te 127.60 Te.upf
CELL_PARAMETERS angstrom
4.4206 0.0000 0.0000
0.0000 11.8364 0.0000
0.0000 0.0000 12.2347
ATOMIC_POSITIONS crystal
Pr 0.7500 0.5058 0.6992
Pr 0.7500 0.9942 0.1992
Pr 0.2500 0.4942 0.3008
Pr 0.2500 0.0058 0.8008
Y 0.2500 0.1895 0.4851
Y 0.2500 0.3105 0.9851
Y 0.7500 0.8105 0.5149
Y 0.7500 0.6895 0.0149
Te 0.2500 0.2996 0.7283
Te 0.2500 0.2004 0.2283
Te 0.7500 0.7004 0.2717
Te 0.7500 0.7996 0.7717
Te 0.2500 0.6270 0.5393
Te 0.2500 0.8730 0.0393
Te 0.7500 0.3730 0.4607
Te 0.7500 0.1270 0.9607
Te 0.7500 0.0557 0.6125
Te 0.7500 0.4443 0.1125
Te 0.2500 0.9443 0.3875
Te 0.2500 0.5557 0.8875
```

Formation energy from raw total energies: -7.263 eV/f.u.
Calculated density: 6.4 Mg/m³
Energy above the lowest structure with this stoichiometry: 0 meV/atom
Final energy: -111.7 eV for the cell shown
SG: Pnma, No. 62
Magnetic moment: 0.000 μB/cell